The following is a DFT calculation (PBE+U) of crystalline Ac3CrO6F2 at its relaxed geometry.

Values from the calculation:
crystal system = monoclinic
E = -169.527 eV/cell

Unit cell a=11.7687 b=6.9878 c=5.3002 alpha=90.00 beta=94.34 gamma=90.00
Space group C2/m (No. 12)
Inequivalent atoms, fractional coordinates:
Ac 0.0000 0.0000 0.0000 x2
Ac 0.2500 0.2500 0.5000 x4
Cr 0.0000 0.5000 0.5000 x2
O 0.0649 0.2750 0.2955 x8
O 0.1440 0.5000 0.6877 x4
F 0.1824 0.0000 0.7984 x4